Entry a
Below is an optimized crystal structure of Mg5InPb, with properties calculated at the GGA-PBE level.

```
data_Mg5InPb
_symmetry_space_group_name_H-M 'C 1 2/c 1'
_symmetry_Int_Tables_number 15
_cell_length_a 8.600
_cell_length_b 8.395
_cell_length_c 9.972
_cell_angle_alpha 90.00
_cell_angle_beta 94.86
_cell_angle_gamma 90.00
loop_
_symmetry_equiv_pos_as_xyz
'x,y,z'
'-x,-y,-z'
'-x,y,-z+1/2'
'x,-y,z+1/2'
'x+1/2,y+1/2,z'
'-x+1/2,-y+1/2,-z'
'-x+1/2,y+1/2,-z+1/2'
'x+1/2,-y+1/2,z+1/2'
loop_
_atom_site_label
_atom_site_type_symbol
_atom_site_fract_x
_atom_site_fract_y
_atom_site_fract_z
Mg1 Mg 0.000 0.182 0.250
Mg2 Mg 0.148 0.393 0.506
Mg3 Mg 0.185 0.159 0.779
In1 In 0.000 0.471 0.750
Pb1 Pb 0.000 0.000 0.000
```

## Properties
DOS(E_F) (states/eV per cell): 10.1
M_tot (μB per atom): 0.00
Theoretical density (g/cm3): 4.1



Entry b
Below is an optimized crystal structure of Mg5InPb, with properties calculated at the GGA-PBE level.

```
data_Mg5InPb
_symmetry_space_group_name_H-M 'P 4/m m m'
_symmetry_Int_Tables_number 123
_symmetry_space_group_name_Hall '-P 4 2'
_cell_length_a 4.994
_cell_length_b 4.994
_cell_length_c 7.002
_cell_angle_alpha 90.00
_cell_angle_beta 90.00
_cell_angle_gamma 90.00
loop_
_atom_site_label
_atom_site_type_symbol
_atom_site_fract_x
_atom_site_fract_y
_atom_site_fract_z
Mg1 Mg 0.000 0.000 0.000
Mg2 Mg 0.000 0.500 0.274
In1 In 0.000 0.000 0.500
Pb1 Pb 0.500 0.500 0.000
```

## Properties
DOS(E_F) (states/eV per cell): 1.6
M_tot (μB per atom): 0.00
Theoretical density (g/cm3): 4.2



Q: Which of them is the most stable? A: entry b.



Entry a
Below is an optimized crystal structure of Mg8InPb3, with properties calculated at the GGA-PBE level.

```
data_Mg8InPb3
_symmetry_space_group_name_H-M 'C 1 m 1'
_symmetry_Int_Tables_number 8
_cell_length_a 9.650
_cell_length_b 9.856
_cell_length_c 8.323
_cell_angle_alpha 90.00
_cell_angle_beta 124.14
_cell_angle_gamma 90.00
loop_
_symmetry_equiv_pos_as_xyz
'x,y,z'
'x,-y,z'
'x+1/2,y+1/2,z'
'x+1/2,-y+1/2,z'
loop_
_atom_site_label
_atom_site_type_symbol
_atom_site_fract_x
_atom_site_fract_y
_atom_site_fract_z
Mg1 Mg 0.000 0.000 0.000
Mg2 Mg 0.004 0.261 0.528
Mg3 Mg 0.235 0.500 0.538
Mg4 Mg 0.248 0.000 0.501
Mg5 Mg 0.257 0.223 0.996
Mg6 Mg 0.343 0.500 0.253
In1 In 0.103 0.000 0.727
Pb1 Pb 0.113 0.500 0.806
Pb2 Pb 0.126 0.257 0.255
```

## Properties
DOS(E_F) (states/eV per cell): 8.3
M_tot (μB per atom): 0.00
Theoretical density (g/cm3): 4.7



Entry b
Below is an optimized crystal structure of Mg8InPb3, with properties calculated at the GGA-PBE level.

```
data_Mg8InPb3
_symmetry_space_group_name_H-M 'I 4/m m m'
_symmetry_Int_Tables_number 139
_symmetry_space_group_name_Hall '-I 4 2'
_cell_length_a 6.898
_cell_length_b 6.898
_cell_length_c 13.746
_cell_angle_alpha 90.00
_cell_angle_beta 90.00
_cell_angle_gamma 90.00
loop_
_atom_site_label
_atom_site_type_symbol
_atom_site_fract_x
_atom_site_fract_y
_atom_site_fract_z
Mg1 Mg 0.245 0.245 0.123
In1 In 0.000 0.000 0.000
Pb1 Pb 0.000 0.000 0.500
Pb2 Pb 0.000 0.500 0.250
```

## Properties
DOS(E_F) (states/eV per cell): 6.3
M_tot (μB per atom): 0.00
Theoretical density (g/cm3): 4.7



Q: Which of them is the most stable? A: entry b.